LaSc4Cd5 after structural relaxation. Source: the Alexandria database, functional PBE-GGA.

```
10
Lattice="3.144 0.000 0.000 0.000 3.144 0.000 0.000 0.000 25.394" Properties=species:S:1:pos:R:3 pbc="T T T"
La 0.000 0.000 0.000
Sc 0.000 0.000 3.263
Sc 0.000 0.000 7.600
Sc 0.000 0.000 17.794
Sc 0.000 0.000 22.130
Cd 1.572 1.572 5.417
Cd 1.572 1.572 9.803
Cd 1.572 1.572 12.697
Cd 1.572 1.572 15.591
Cd 1.572 1.572 19.977
```

Space group: P4/mmm (123)

HgPbO2F after structural relaxation. Source: the Alexandria database, functional PBE-GGA.

```
5
Lattice="4.350 0.000 0.000 0.000 4.350 0.000 0.000 0.000 4.458" Properties=species:S:1:pos:R:3 pbc="T T T"
Hg 0.000 0.000 0.000
Pb 2.175 2.175 2.229
O 0.000 2.175 2.229
O 2.175 0.000 2.229
F 2.175 2.175 0.000
```

Formation energy (no corrections), meV per atom: -659
Space group: P4/mmm (123)

BaBe2Hg after structural relaxation. Source: the Alexandria database, functional PBE-GGA.

```
4
Lattice="3.631 -2.101 0.000 3.631 2.101 0.000 -2.459 0.000 5.944" Properties=species:S:1:pos:R:3 pbc="T T T"
Ba 0.000 0.000 0.000
Be -0.026 0.000 3.240
Be 4.828 0.000 2.704
Hg 2.401 0.000 2.972
```

Space group: C2/m (12)

VASP energy for the records above, in order: -3.45 -3.82 -2.33 eV/atom